12
Lattice="5.531 0.000 0.000 -2.765 4.790 0.000 0.000 0.000 6.715" Properties=species:S:1:pos:R:3 comment="Cr2GaHgO8 | the Alexandria database | GGA+U | relaxed" energy_ha_per_atom=-0.2170 m_tot_mub_per_cell=0.93 pbc="T T T"
Cr 0.000 3.193 1.659
Cr 2.765 1.597 5.056
Ga 0.000 0.000 3.357
Hg 0.000 0.000 0.000
O 0.000 1.571 2.153
O -1.405 4.005 2.153
O 1.360 0.785 4.562
O 0.000 3.193 0.042
O 2.765 1.597 6.673
O 1.405 4.005 2.153
O 4.171 0.785 4.562
O 2.765 3.219 4.562